Compound: AlZn2AsO6
Source: Alexandria via LeMat-Bulk
Functional: PBE
Structure: relaxed

theoretical density = 5.15 g cm⁻³
DFT total energy = -5.8169 eV per atom
total magnetization = 0.00 μB per cell

Cell lengths 9.6731, 8.7237, 5.0703 Å; angles 90.00, 97.58, 90.00 degrees
With the nearest neighbours (Å) after each atom.
Space group C2/c (No. 15)
Inequivalent atoms, fractional coordinates:
Al 0.0000 0.0852 0.2500 [4 per cell]  6 O 1.88-1.98
Zn 0.1879 0.4011 0.2934 [8 per cell]  4 O 1.95-2.02
As 0.0000 0.2619 0.7500 [4 per cell]  6 O 1.80-2.01
O 0.0999 0.2326 0.0826 [8 per cell]  1 As 1.85, 1 Al 1.88, 1 Zn 1.95
O 0.1030 0.0840 0.6155 [8 per cell]  2 Al 1.95-1.98, 1 As 2.01, 1 Zn 2.02
O 0.1248 0.3949 0.6482 [8 per cell]  1 As 1.80, 2 Zn 1.98-1.99